# KSrAl2 (PBE-GGA, optimized geometry)
# crystal system = tetragonal
# E above lowest polymorph = 53 meV/atom
data_KSrAl2
_cell_length_a 3.671
_cell_length_b 3.671
_cell_length_c 10.067
_cell_angle_alpha 90.00
_cell_angle_beta 90.00
_cell_angle_gamma 90.00
_symmetry_space_group_name_H-M 'P 4 m m'
_symmetry_Int_Tables_number 99
loop_
_symmetry_equiv_pos_as_xyz
'x,y,z'
'-y,x,z'
'-x,-y,z'
'y,-x,z'
'-x,y,z'
'y,x,z'
'x,-y,z'
'-y,-x,z'
loop_
_atom_site_label
_atom_site_fract_x
_atom_site_fract_y
_atom_site_fract_z
K1 0.000 0.000 0.000
Sr1 0.500 0.500 0.399
Al1 0.000 0.000 0.621
Al2 0.500 0.500 0.743

# NaCaSn (PBE-GGA, optimized geometry)
# crystal system = cubic
data_NaCaSn
_cell_length_a 7.525
_cell_length_b 7.525
_cell_length_c 7.525
_cell_angle_alpha 90.00
_cell_angle_beta 90.00
_cell_angle_gamma 90.00
_symmetry_space_group_name_H-M 'F -4 3 m'
_symmetry_Int_Tables_number 216
_symmetry_space_group_name_Hall 'F -4 2 3'
loop_
_atom_site_label
_atom_site_fract_x
_atom_site_fract_y
_atom_site_fract_z
Na1 0.000 0.000 0.000
Ca1 0.000 0.000 0.500
Sn1 0.250 0.250 0.750

# LaDy3Ho6Er2 (PBE-GGA, optimized geometry)
# crystal system = monoclinic
data_LaDy3Ho6Er2
_cell_length_a 6.140
_cell_length_b 10.627
_cell_length_c 11.757
_cell_angle_alpha 90.00
_cell_angle_beta 99.98
_cell_angle_gamma 90.00
_symmetry_space_group_name_H-M 'C 1 2/m 1'
_symmetry_Int_Tables_number 12
loop_
_symmetry_equiv_pos_as_xyz
'x,y,z'
'-x,-y,-z'
'-x,y,-z'
'x,-y,z'
'x+1/2,y+1/2,z'
'-x+1/2,-y+1/2,-z'
'-x+1/2,y+1/2,-z'
'x+1/2,-y+1/2,z'
loop_
_atom_site_label
_atom_site_fract_x
_atom_site_fract_y
_atom_site_fract_z
La1 0.000 0.000 0.000
Dy1 0.000 0.167 0.500
Dy2 0.000 0.500 0.500
Ho1 0.248 0.333 0.748
Ho2 0.250 0.000 0.748
Er1 0.000 0.333 0.000

# CaPm6Tm2 (PBE-GGA, optimized geometry)
# crystal system = hexagonal
data_CaPm6Tm2
_cell_length_a 3.6411
_cell_length_b 3.6411
_cell_length_c 27.1507
_cell_angle_alpha 90.00
_cell_angle_beta 90.00
_cell_angle_gamma 120.00
_symmetry_space_group_name_H-M 'P -6 m 2'
_symmetry_Int_Tables_number 187
_symmetry_space_group_name_Hall 'P -6 2'
loop_
_atom_site_label
_atom_site_fract_x
_atom_site_fract_y
_atom_site_fract_z
Ca1 0.0000 0.0000 0.0000
Pm1 0.0000 0.0000 0.2251
Pm2 0.0000 0.0000 0.4338
Pm3 0.6667 0.3333 0.1182
Tm1 0.6667 0.3333 0.3318

no.,N(E_F) (states/eV/cell),calculated density (g/cm³),calculated formation energy (eV/atom)
1,2.169,2.21,0.1344
2,10.578,2.83,-0.2290
3,31.178,8.57,0.0218
4,14.597,6.65,0.0625